The following is a DFT calculation (PBE) of an optimized crystal structure of Cd3RuW.

Calculated values
Calculated density (g/cm³): 7.2
Energy relative to the elements (eV per atom): 1.98
Polymorph energy (0 for the lowest one) (meV/atom): 307
Raw total energy (eV per atom): -3.015

abc: 5.225 5.225 5.225
angles: 90.00 90.00 90.00
Space group Pm-3m (No. 221)
Symmetry-distinct sites (fractional):
Cd  0.000  0.000  0.500 (multiplicity 3)
Ru  0.500  0.500  0.500 (multiplicity 1)
W  0.000  0.000  0.000 (multiplicity 1)